Record 1
VASP calculation (PBE) on a geometry-optimized CaCd2RhO5 structure.

* E_tot: -46.469 eV for the cell shown
* formation energy without anion corrections: -1.17 eV per atom
* crystal system: orthorhombic

abc: 6.6889 6.6889 6.6889
angles: 147.79 130.47 60.32
Atoms (fractional coordinates):
Ca: 0.0000 0.0000 0.0000
Cd: 0.2841 0.7841 0.5000
Cd: 0.7159 0.2159 0.5000
Rh: 0.5000 0.5000 0.0000
O: 0.1192 0.3716 0.7476
O: 0.3760 0.6284 0.7476
O: 0.5000 0.0000 0.5000
O: 0.6240 0.3716 0.2524
O: 0.8808 0.6284 0.2524



Record 2
VASP calculation (PBE) on a geometry-optimized YHf2Sb structure.

* E_tot: -119.524 eV for the cell shown
* formation energy without anion corrections: 0.15 eV per atom
* crystal system: tetragonal

abc: 8.4734 8.4734 5.9792
angles: 90.00 90.00 90.00
Atoms (fractional coordinates):
Y: 0.0000 0.0000 0.0000
Y: 0.0000 0.5000 0.2500
Y: 0.5000 0.0000 0.7500
Y: 0.5000 0.5000 0.5000
Hf: 0.2079 0.2500 0.6250
Hf: 0.2500 0.7079 0.8750
Hf: 0.2500 0.7921 0.3750
Hf: 0.2921 0.2500 0.1250
Hf: 0.7079 0.7500 0.1250
Hf: 0.7500 0.2079 0.3750
Hf: 0.7500 0.2921 0.8750
Hf: 0.7921 0.7500 0.6250
Sb: 0.0000 0.0000 0.5000
Sb: 0.0000 0.5000 0.7500
Sb: 0.5000 0.0000 0.2500
Sb: 0.5000 0.5000 0.0000